(1)
The following is a PBE-GGA calculation of a geometry-optimized Zr6BiPb3 structure, from the Alexandria database.

extended XYZ file:
```
20
Lattice="4.684 -7.196 0.000 4.684 7.196 0.000 0.000 0.000 7.573" Properties=species:S:1:pos:R:3 pbc="T T T"
Zr 4.684 6.642 3.787
Zr 2.531 2.977 7.429
Zr 2.651 0.906 5.039
Zr 4.684 3.153 4.968
Zr 2.651 -0.906 1.252
Zr 2.531 -2.977 3.642
Zr 6.837 2.977 7.429
Zr 6.717 0.906 5.039
Zr 4.684 -3.153 1.181
Zr 6.717 -0.906 1.252
Zr 6.837 -2.977 3.642
Zr 4.684 -6.642 0.000
Bi 4.684 4.394 1.810
Bi 4.684 -4.394 5.597
Pb 1.641 1.626 2.359
Pb 1.641 -1.626 6.146
Pb 4.684 0.796 7.374
Pb 4.684 -0.796 3.588
Pb 7.727 1.626 2.359
Pb 7.727 -1.626 6.146
```

Calculated values
SG: No. 36
E_form: -57 meV per atom
mass density: 8.96 g/cm3
crystal system: orthorhombic

(2)
The following is a PBE-GGA calculation of a geometry-optimized Zr4BiPb2 structure, from the Alexandria database.

extended XYZ file:
```
14
Lattice="5.747 0.000 0.000 0.000 6.124 0.000 -1.384 0.000 9.954" Properties=species:S:1:pos:R:3 pbc="T T T"
Zr -0.097 1.531 2.039
Zr 0.106 4.593 4.519
Zr 1.346 6.123 7.287
Zr 1.346 3.063 7.287
Zr 3.017 0.001 2.667
Zr 3.017 3.061 2.667
Zr 4.257 1.531 5.435
Zr 4.460 4.593 7.915
Bi 0.072 4.593 1.489
Bi 4.290 1.531 8.465
Pb 1.298 1.531 4.649
Pb 2.782 1.531 0.096
Pb 1.581 4.593 9.858
Pb 3.064 4.593 5.305
```

Calculated values
SG: No. 11
E_form: -163 meV per atom
mass density: 9.37 g/cm3
crystal system: monoclinic

(3)
The following is a PBE-GGA calculation of a geometry-optimized ZrBiPb3 structure, from the Alexandria database.

extended XYZ file:
```
5
Lattice="5.692 0.000 0.000 0.000 5.692 0.000 0.000 0.000 5.692" Properties=species:S:1:pos:R:3 pbc="T T T"
Zr 0.000 0.000 0.000
Bi 2.846 2.846 2.846
Pb 0.000 0.000 2.846
Pb 0.000 2.846 0.000
Pb 2.846 0.000 0.000
```

Calculated values
SG: No. 221
E_form: 458 meV per atom
mass density: 8.30 g/cm3
crystal system: cubic

> Which value of mass density does entry 2 give?

9.37 g/cm3